# 1
DFT (PBE) results for a relaxed Pr4Tm3Sc2 crystal.

```
data_Pr4Tm3Sc2
_chemical_formula_sum 'Pr16 Tm12 Sc8'
_space_group_name_H-M_alt 'C 1 2/c 1'
_space_group_IT_number 15
_space_group_name_Hall '-C 2yc'
_cell_length_a 16.614
_cell_length_b 11.640
_cell_length_c 5.920
_cell_angle_alpha 90.00
_cell_angle_beta 98.25
_cell_angle_gamma 90.00
loop_
_atom_site_label
_atom_site_fract_x
_atom_site_fract_y
_atom_site_fract_z
_atom_site_occupancy
Pr1 0.063 0.119 0.027 1
Pr2 0.214 0.391 0.884 1
Tm1 0.000 0.390 0.750 1
Tm2 0.177 0.144 0.574 1
Sc1 0.102 0.370 0.311 1
```

Calculated formation energy (eV per atom): 0.103

# 2
DFT (PBE) results for a relaxed Na2BeGeO4 crystal.

```
data_Na2BeGeO4
_chemical_formula_sum 'Na4 Be2 Ge2 O8'
_space_group_name_H-M_alt 'I -4'
_space_group_IT_number 82
_space_group_name_Hall 'I -4'
_cell_length_a 5.024
_cell_length_b 5.024
_cell_length_c 7.333
_cell_angle_alpha 90.00
_cell_angle_beta 90.00
_cell_angle_gamma 90.00
loop_
_atom_site_label
_atom_site_fract_x
_atom_site_fract_y
_atom_site_fract_z
_atom_site_occupancy
Na1 0.000 0.000 0.000 1
Na2 0.000 0.500 0.250 1
Be1 0.000 0.500 0.750 1
Ge1 0.000 0.000 0.500 1
O1 0.148 0.259 0.631 1
```

Energy above the lowest structure with this stoichiometry (meV/atom): 10
Energy relative to the elements, uncorrected (eV/atom): -2.02

# 3
DFT (PBE) results for a relaxed ScBe2Rh2 crystal.

```
data_ScBe2Rh2
_chemical_formula_sum 'Sc2 Be4 Rh4'
_space_group_name_H-M_alt 'I 4/m m m'
_space_group_IT_number 139
_space_group_name_Hall '-I 4 2'
_cell_length_a 3.753
_cell_length_b 3.753
_cell_length_c 9.869
_cell_angle_alpha 90.00
_cell_angle_beta 90.00
_cell_angle_gamma 90.00
loop_
_atom_site_label
_atom_site_fract_x
_atom_site_fract_y
_atom_site_fract_z
_atom_site_occupancy
Sc1 0.000 0.000 0.000 1
Be1 0.000 0.500 0.250 1
Rh1 0.000 0.000 0.369 1
```

Calculated formation energy (eV per atom): -0.524
Energy above the lowest structure with this stoichiometry (meV/atom): 196

# 4
DFT (PBE) results for a relaxed Ca2HgPt crystal.

```
data_Ca2HgPt
_chemical_formula_sum 'Ca2 Hg1 Pt1'
_space_group_name_H-M_alt 'P 4 m m'
_space_group_IT_number 99
_space_group_name_Hall 'P 4 -2'
_cell_length_a 3.741
_cell_length_b 3.741
_cell_length_c 7.640
_cell_angle_alpha 90.00
_cell_angle_beta 90.00
_cell_angle_gamma 90.00
loop_
_atom_site_label
_atom_site_fract_x
_atom_site_fract_y
_atom_site_fract_z
_atom_site_occupancy
Ca1 0.000 0.000 0.000 1
Ca2 0.500 0.500 0.398 1
Hg1 0.000 0.000 0.609 1
Pt1 0.500 0.500 0.803 1
```

Calculated formation energy (eV per atom): -0.456